A plane-wave DFT calculation with PBE was carried out for a relaxed CaBeAgPd2 crystal.

a b c (Å): 4.3974 4.3974 4.5574
angles (deg): 90.00 90.00 90.00
Closest atoms and distances in Å follow each position.
Space group P4/mmm (No. 123)
Symmetry-distinct sites (fractional):
Ca  0.0000  0.0000  0.0000 x1  4 Ag 3.11, 8 Pd 3.17
Be  0.5000  0.5000  0.5000 x1  4 Pd 2.20, 2 Ag 2.28
Ag  0.5000  0.5000  0.0000 x1  2 Be 2.28
Pd  0.0000  0.5000  0.5000 x2  2 Be 2.20

## Properties
DFT formation energy: -0.39 eV/atom
E_tot: -4.18 eV/atom
Calculated density: 6.97 g/cm3
V: 17.6 Å³/atom

A plane-wave DFT calculation with PBE was carried out for a relaxed RbAg2Bi2 crystal.

a b c (Å): 5.0761 5.0761 12.2302
angles (deg): 90.00 90.00 90.00
Closest atoms and distances in Å follow each position.
Space group I4/mmm (No. 139)
Symmetry-distinct sites (fractional):
Rb  0.0000  0.0000  0.0000 x2  8 Bi 3.91, 8 Ag 3.97
Ag  0.0000  0.5000  0.2500 x4  4 Bi 2.95
Bi  0.0000  0.0000  0.3727 x4  4 Ag 2.95, 1 Bi 3.11

## Properties
DFT formation energy: -0.11 eV/atom
E_tot: -2.99 eV/atom
Calculated density: 7.58 g/cm3
Offset from the most stable computed form: 0.0 kJ/mol of atoms
V: 31.5 Å³/atom

A plane-wave DFT calculation with PBE was carried out for a relaxed KNa2MgSi crystal.

a b c (Å): 5.8285 5.8285 5.1654
angles (deg): 90.00 90.00 90.00
Closest atoms and distances in Å follow each position.
Space group P4/mmm (No. 123)
Symmetry-distinct sites (fractional):
K  0.0000  0.0000  0.0000 x1  8 Na 3.89, 4 Mg 4.12
Na  0.0000  0.5000  0.5000 x2  2 Si 2.91
Mg  0.5000  0.5000  0.0000 x1  2 Si 2.58
Si  0.5000  0.5000  0.5000 x1  2 Mg 2.58

## Properties
E_tot: -2.04 eV/atom
Formation energy from raw total energies: 0.113 eV/atom
Calculated density: 1.30 g/cm3
V: 35.1 Å³/atom

A plane-wave DFT calculation with PBE was carried out for a relaxed BaCd2Sb crystal.

a b c (Å): 4.0518 4.0518 7.6393
angles (deg): 90.00 90.00 90.00
Closest atoms and distances in Å follow each position.
Space group P4mm (No. 99)
Symmetry-distinct sites (fractional):
Ba  0.0000  0.0000  0.0000 x1  4 Sb 3.63, 6 Cd 3.73-3.90, 4 Ba 4.05
Cd  0.0000  0.0000  0.5100 x1  4 Sb 3.24, 4 Cd 3.24
Cd  0.5000  0.5000  0.3127 x1  1 Sb 3.01, 4 Cd 3.24
Sb  0.5000  0.5000  0.7072 x1  5 Cd 3.01-3.24

## Properties
E_tot: -2.26 eV/atom
Formation energy from raw total energies: -0.295 eV/atom
Calculated density: 6.41 g/cm3
V: 31.4 Å³/atom

A plane-wave DFT calculation with PBE was carried out for a relaxed LiHgGe crystal.

a b c (Å): 5.5980 2.9100 7.1001
angles (deg): 90.00 95.04 90.00
Closest atoms and distances in Å follow each position.
Space group P2/m (No. 10)
Symmetry-distinct sites (fractional):
Li  0.2211  0.0000  0.2180 x2  4 Ge 2.83-2.84, 4 Hg 2.89-3.10, 2 Li 2.91
Hg  0.2653  0.5000  0.8712 x2  4 Li 2.89-3.10, 2 Ge 2.91-3.05, 3 Hg 2.91-3.07
Ge  0.0000  0.5000  0.5000 x1  4 Ge 2.80-2.91, 4 Li 2.84, 2 Hg 2.91
Ge  0.5000  0.5000  0.5000 x1  4 Ge 2.80-2.91, 4 Li 2.83, 2 Hg 3.05

## Properties
DFT formation energy: -0.15 eV/atom
E_tot: -2.43 eV/atom
Calculated density: 8.08 g/cm3
Offset from the most stable computed form: 0.0 kJ/mol of atoms
V: 19.2 Å³/atom

A plane-wave DFT calculation with PBE was carried out for a relaxed AcPaGa2Ge2 crystal.

a b c (Å): 4.2914 4.2914 8.7608
angles (deg): 90.00 90.00 120.00
Closest atoms and distances in Å follow each position.
Space group P-3m1 (No. 164)
Symmetry-distinct sites (fractional):
Ac  0.0000  0.0000  0.0000 x1  6 Ge 3.28, 6 Ga 3.62
Pa  0.0000  0.0000  0.5000 x1  6 Ga 3.03, 6 Ge 3.34
Ga  0.3333  0.6667  0.6994 x2  3 Ge 2.53
Ge  0.3333  0.6667  0.2447 x2  3 Ga 2.53

## Properties
DFT formation energy: -0.46 eV/atom
E_tot: -5.27 eV/atom
Calculated density: 8.83 g/cm3
V: 23.3 Å³/atom

Among the records above, which one has the lowest V?
CaBeAgPd2

Look up the V of the fifth one.
19.2 Å³/atom

What did the sixth record say?
A plane-wave DFT calculation with PBE was carried out for a relaxed AcPaGa2Ge2 crystal.

a b c (Å): 4.2914 4.2914 8.7608
angles (deg): 90.00 90.00 120.00
Closest atoms and distances in Å follow each position.
Space group P-3m1 (No. 164)
Symmetry-distinct sites (fractional):
Ac  0.0000  0.0000  0.0000 x1  6 Ge 3.28, 6 Ga 3.62
Pa  0.0000  0.0000  0.5000 x1  6 Ga 3.03, 6 Ge 3.34
Ga  0.3333  0.6667  0.6994 x2  3 Ge 2.53
Ge  0.3333  0.6667  0.2447 x2  3 Ga 2.53

## Properties
DFT formation energy: -0.46 eV/atom
E_tot: -5.27 eV/atom
Calculated density: 8.83 g/cm3
V: 23.3 Å³/atom